VASP calculation (PBE-GGA) on an optimized crystal structure of Cs3Tl4In2.

```
data_Cs3Tl4In2
_chemical_formula_sum 'Cs6 Tl8 In4'
_cell_length_a 14.847
_cell_length_b 4.950
_cell_length_c 11.537
_cell_angle_alpha 90.00
_cell_angle_beta 101.26
_cell_angle_gamma 90.00
_space_group_name_H-M_alt 'C 1 2/m 1'
_space_group_IT_number 12
_space_group_name_Hall '-C 2y'
loop_
_atom_site_label
_atom_site_fract_x
_atom_site_fract_y
_atom_site_fract_z
Cs1 0.000 0.000 0.000
Cs2 0.110 0.500 0.387
Tl1 0.119 0.000 0.666
Tl2 0.208 0.500 0.093
In1 0.164 0.500 0.822
```

Properties
As for the formation energy: -93 meV/atom. The calculation puts the uncorrected energy at -2.0379 eV per atom.